Entry 1:
TeHPtN2 | PBE | optimized geometry

a = 3.9923 Å, b = 3.9923 Å, c = 3.5921 Å
α = 90.00°, β = 90.00°, γ = 90.00°
Closest atoms and distances in Å follow each position.
Atoms (fractional coordinates):
Te 0.0000 0.0000 0.5000  2 H 1.80
N 0.0000 0.5000 0.0000  2 H 2.00
N 0.5000 0.0000 0.0000  2 H 2.00
Pt 0.5000 0.5000 0.5000  8 N 2.69, 4 Te 2.82
H 0.0000 0.0000 0.0000  2 Te 1.80, 4 N 2.00

Energy, eV/cell: -19.39
Symmetry: P4/mmm (123)
Density of states at the Fermi level, states/eV per atom: 0.263
Polymorph energy (0 for the lowest one), meV per atom: 529
Size of the total moment, μB/atom: 0.0000

---

Entry 2:
Cu2Ir3 | PBE | optimized geometry

a = 7.8831 Å, b = 6.8790 Å, c = 5.0975 Å
α = 80.84°, β = 59.49°, γ = 39.67°
Closest atoms and distances in Å follow each position.
Atoms (fractional coordinates):
Ir 0.4701 0.7246 0.4504  5 Cu 2.56-2.73, 5 Ir 2.62-2.73
Ir 0.3549 0.4504 0.7246  5 Cu 2.56-2.73, 5 Ir 2.62-2.73
Ir 0.7996 0.8951 0.7799  5 Cu 2.56-2.73, 5 Ir 2.62-2.73
Ir 0.1695 0.3305 0.3305  6 Cu 2.57-2.69, 4 Ir 2.67-2.73
Ir 0.9195 0.0805 0.0805  6 Cu 2.57-2.69, 4 Ir 2.67-2.73
Ir 0.5254 0.7799 0.8951  5 Cu 2.56-2.73, 5 Ir 2.62-2.73
Cu 0.6924 0.8991 0.3454  8 Ir 2.56-2.73, 2 Cu 2.66
Cu 0.0631 0.3454 0.8991  8 Ir 2.56-2.73, 2 Cu 2.66
Cu 0.9046 0.1869 0.5576  8 Ir 2.56-2.73, 2 Cu 2.66
Cu 0.3509 0.5576 0.1869  8 Ir 2.56-2.73, 2 Cu 2.66

Energy, eV/cell: -67.14
Symmetry: Fdd2 (43)
Density of states at the Fermi level, states/eV per atom: 1.271
Polymorph energy (0 for the lowest one), meV per atom: 161
E_form, eV per atom: 0.241
Size of the total moment, μB/atom: 0.0000

---

Entry 3:
Fe5Ir | PBE | optimized geometry

a = 4.8399 Å, b = 4.8399 Å, c = 4.1253 Å
α = 90.00°, β = 90.00°, γ = 129.64°
Closest atoms and distances in Å follow each position.
Atoms (fractional coordinates):
Ir 0.5000 0.5000 0.0000  8 Fe 2.54
Fe 0.0000 0.0000 0.5000  8 Fe 2.54
Fe 0.8305 0.1695 0.0000  6 Fe 2.50-2.54, 2 Ir 2.54
Fe 0.6702 0.3298 0.5000  6 Fe 2.49-2.54, 2 Ir 2.54
Fe 0.3298 0.6702 0.5000  6 Fe 2.49-2.54, 2 Ir 2.54
Fe 0.1695 0.8305 0.0000  6 Fe 2.50-2.54, 2 Ir 2.54

Energy, eV/cell: -51.37
Symmetry: Cmmm (65)
Density of states at the Fermi level, states/eV per atom: 0.776
Polymorph energy (0 for the lowest one), meV per atom: 0
E_form, eV per atom: -0.033
Size of the total moment, μB/atom: 2.2888